PrCdOs: optimized geometry, GGA-PBE.

## Properties
final energy	-4.9251	eV per atom
total magnetization	0.0	μB per cell
energy of formation	0.707	eV/atom
crystal system	cubic

abc: 4.731 4.731 4.731
angles: 60.00 60.00 60.00
Fractional coordinates of all 3 atoms:
Cd: 0.000 0.000 0.000
Os: 0.250 0.250 0.250
Pr: 0.750 0.750 0.750